1.
NiSbBr2 | GGA-PBE | optimized geometry

Uncorrected formation energy   0.04 eV/atom

```
4
Lattice="-2.1812 -2.4751 0.8746 1.8160 -0.6016 2.8265 -4.7368 5.6766 4.2516" Properties=species:S:1:pos:R:3 pbc="T T T"
Br -4.4127 5.2881 3.9607
Sb -3.4359 2.3603 4.7706
Br -1.8467 0.4558 3.3441
Ni -2.5120 3.0104 2.2547
```

2.
NiSbBr2 | GGA-PBE | optimized geometry

Uncorrected formation energy   -0.04 eV/atom

```
4
Lattice="3.7422 -0.0343 0.0000 -1.7880 3.2876 0.0000 0.0000 0.0000 8.9612" Properties=species:S:1:pos:R:3 pbc="T T T"
Sb 0.9771 1.6267 6.1861
Ni 0.0000 0.0000 4.6236
Br 0.0000 0.0000 8.4700
Br 0.9771 1.6267 3.1232
```

3.
Ni4SbBr | GGA-PBE | optimized geometry

Uncorrected formation energy   0.41 eV/atom

```
6
Lattice="0.0000 3.5465 3.5465 3.5465 0.0000 3.5465 3.5465 3.5465 0.0000" Properties=species:S:1:pos:R:3 pbc="T T T"
Ni 4.4249 4.4249 2.6681
Ni 4.4249 2.6681 4.4249
Sb 5.3197 5.3197 5.3197
Ni 2.6681 2.6681 2.6681
Ni 2.6681 4.4249 4.4249
Br 0.0000 0.0000 0.0000
```

4.
NiSbBr2 | GGA-PBE | optimized geometry

Uncorrected formation energy   0.56 eV/atom

```
4
Lattice="5.0948 0.0788 0.0000 -0.0668 5.0950 0.0000 0.0000 0.0000 3.4800" Properties=species:S:1:pos:R:3 pbc="T T T"
Br 0.0000 0.0000 0.0000
Sb -0.0334 2.5475 1.7400
Br 2.5140 2.5869 0.0000
Ni 2.5474 0.0394 1.7400
```